# 1
! LuInTe3Au PBE optimized geometry; values from VASP
&SYSTEM
  ibrav = 0, nat = 12, ntyp = 4
/
ATOMIC_SPECIES
Au 196.97 Au.upf
Te 127.60 Te.upf
Lu 174.97 Lu.upf
In 114.82 In.upf
CELL_PARAMETERS angstrom
-2.672 7.058 -2.186
2.311 -4.900 5.690
10.417 3.591 -1.138
ATOMIC_POSITIONS angstrom
Au 2.577 1.608 1.710
Au 7.479 4.141 0.656
Te 4.457 -2.903 4.682
Te 5.203 0.980 2.368
Te 4.853 4.769 -0.001
Te 5.599 8.652 -2.315
Te 8.987 6.194 -0.453
Te 1.069 -0.445 2.819
Lu 5.209 1.796 -0.569
Lu 0.000 0.000 0.000
In 8.965 0.574 3.006
In 1.091 5.176 -0.639
! - energy (eV/cell) = -47.40
! - total magnetic moment (Bohr magnetons per cell) = 0.013

---

# 2
! LuMgRe PBE optimized geometry; values from VASP
&SYSTEM
  ibrav = 0, nat = 3, ntyp = 3
/
ATOMIC_SPECIES
Re 186.21 Re.upf
Lu 174.97 Lu.upf
Mg 24.30 Mg.upf
CELL_PARAMETERS angstrom
-2.315 -2.648 3.119
-4.260 -1.686 -1.051
-0.579 -4.598 -0.791
ATOMIC_POSITIONS angstrom
Re -5.366 -6.699 0.958
Lu 0.000 0.000 0.000
Mg -1.789 -2.233 0.319
! - total magnetic moment (Bohr magnetons per cell) = 1.915
! - E above lowest polymorph (meV per atom) = 494

---

# 3
! La2Si5Ir3 PBE optimized geometry; values from VASP
&SYSTEM
  ibrav = 0, nat = 20, ntyp = 3
/
ATOMIC_SPECIES
Si 28.09 Si.upf
Ir 192.22 Ir.upf
La 138.91 La.upf
CELL_PARAMETERS angstrom
-5.045 5.902 2.977
5.045 -5.902 2.977
5.045 5.902 -2.977
ATOMIC_POSITIONS angstrom
Si 1.526 4.637 2.977
Si 3.520 -1.265 2.977
Si 0.000 8.592 1.489
Si 1.526 7.167 0.000
Si 0.000 0.000 4.466
Si 3.520 1.265 0.000
Si 5.045 2.690 1.489
Si 0.000 0.000 1.489
Si 5.045 -2.690 1.489
Si 0.000 3.212 1.489
Ir 5.045 0.000 1.489
Ir 3.909 4.260 2.977
Ir 1.136 1.642 0.000
Ir 0.000 5.902 1.489
Ir 6.182 4.260 0.000
Ir -1.136 1.642 2.977
La 2.709 4.368 0.000
La 7.754 1.534 0.000
La 2.337 1.534 2.977
La -2.709 4.368 2.977
! - energy (eV/cell) = -146.43
! - total magnetic moment (Bohr magnetons per cell) = 0.006

---

# 4
! HoScGaNi2 PBE optimized geometry; values from VASP
&SYSTEM
  ibrav = 0, nat = 5, ntyp = 4
/
ATOMIC_SPECIES
Ni 58.69 Ni.upf
Ga 69.72 Ga.upf
Ho 164.93 Ho.upf
Sc 44.96 Sc.upf
CELL_PARAMETERS angstrom
-2.068 2.628 3.974
2.068 -2.628 3.974
2.068 2.628 -3.974
ATOMIC_POSITIONS angstrom
Ni 0.000 1.215 3.977
Ni 2.068 1.413 0.002
Ga 0.000 0.000 7.946
Ho 2.068 0.000 2.369
Sc 0.000 2.628 1.604
! - energy (eV/cell) = -28.04
! - total magnetic moment (Bohr magnetons per cell) = 0.001

---

# 5
! PrZnCu PBE optimized geometry; values from VASP
&SYSTEM
  ibrav = 0, nat = 3, ntyp = 3
/
ATOMIC_SPECIES
Cu 63.55 Cu.upf
Pr 140.91 Pr.upf
Zn 65.41 Zn.upf
CELL_PARAMETERS angstrom
0.000 3.262 3.262
3.262 0.000 3.262
3.262 3.262 0.000
ATOMIC_POSITIONS angstrom
Cu 0.000 0.000 0.000
Pr 1.631 1.631 1.631
Zn 4.893 4.893 4.893
! - total magnetic moment (Bohr magnetons per cell) = 0.028
! - energy of formation from the pure elements (eV/atom) = -0.105

---

# 6
! Ho5Te3Pd PBE optimized geometry; values from VASP
&SYSTEM
  ibrav = 0, nat = 9, ntyp = 3
/
ATOMIC_SPECIES
Te 127.60 Te.upf
Ho 164.93 Ho.upf
Pd 106.42 Pd.upf
CELL_PARAMETERS angstrom
8.319 0.000 0.000
-4.160 7.205 0.000
0.000 0.000 4.062
ATOMIC_POSITIONS angstrom
Te -1.138 1.971 2.031
Te 3.021 5.233 2.031
Te 2.276 0.000 2.031
Ho 0.000 4.803 2.031
Ho 1.403 2.430 0.000
Ho 5.514 0.000 0.000
Ho -2.757 4.775 0.000
Ho 4.160 2.402 2.031
Pd 0.000 0.000 0.000
! - total magnetic moment (Bohr magnetons per cell) = 0.003
! - E above lowest polymorph (meV per atom) = 74

---

# 7
! LiReO3 PBE optimized geometry; values from VASP
&SYSTEM
  ibrav = 0, nat = 20, ntyp = 3
/
ATOMIC_SPECIES
O 16.00 O.upf
Re 186.21 Re.upf
Li 6.94 Li.upf
CELL_PARAMETERS angstrom
-4.550 -0.329 2.188
-0.490 -4.975 -1.768
3.136 -2.493 6.146
ATOMIC_POSITIONS angstrom
O 2.004 -3.361 5.833
O -2.725 -5.376 3.050
O -3.078 -1.906 1.335
O -1.864 -4.807 5.569
O -0.009 -4.951 2.913
O -1.895 -2.846 3.653
O 1.174 -5.891 5.231
O 0.821 -2.421 3.516
O -0.040 -2.990 0.997
O -1.370 -5.556 0.634
O -0.535 -2.241 5.932
O -3.908 -4.436 0.733
Re -2.275 -0.165 1.094
Re 1.323 -3.734 2.189
Re -0.245 -2.487 -0.884
Re -0.707 -1.411 4.167
Li -1.822 -3.514 1.694
Li -3.726 -1.182 3.611
Li 1.822 -6.615 2.955
Li -0.082 -4.283 4.872
! - energy (eV/cell) = -149.65
! - total magnetic moment (Bohr magnetons per cell) = 0.081

---

# 8
! HfSiNiAg PBE optimized geometry; values from VASP
&SYSTEM
  ibrav = 0, nat = 4, ntyp = 4
/
ATOMIC_SPECIES
Ag 107.87 Ag.upf
Hf 178.49 Hf.upf
Si 28.09 Si.upf
Ni 58.69 Ni.upf
CELL_PARAMETERS angstrom
0.357 0.064 4.444
-3.498 1.180 2.500
-2.122 -3.060 2.451
ATOMIC_POSITIONS angstrom
Ag -2.632 -0.908 4.697
Hf -1.316 -0.454 2.349
Si 0.000 0.000 0.000
Ni -3.947 -1.362 7.046
! - energy (eV/cell) = -24.18
! - total magnetic moment (Bohr magnetons per cell) = 0.024